Entry from the Alexandria database: an optimized crystal structure of Ta2CoTc (PBE-GGA).

Properties
Energy of formation from the pure elements ... 0.40 eV/f.u.
Energy ... -10.19 eV/atom
Volume ... 63.44 Å³/f.u.
Crystal system ... trigonal
Distance to the lowest polymorph of the same formula ... 0.378 eV/atom
SG ... R-3m, No. 166

a = 8.176 Å, b = 8.176 Å, c = 8.176 Å
α = 21.35°, β = 21.35°, γ = 21.35°
Fractional coordinates of all 4 atoms:
Ta (0.245, 0.245, 0.245)
Ta (0.755, 0.755, 0.755)
Co (0.500, 0.500, 0.500)
Tc (0.000, 0.000, 0.000)